[1]
{
  "formula": "KHf2Zr",
  "functional": "PBE-GGA",
  "state": "optimized geometry",
  "cell": [[-2.2066, 2.2066, 10.8589], [2.2066, -2.2066, 10.8589], [2.2066, 2.2066, -10.8589]],
  "species": ["K", "K", "Hf", "Hf", "Hf", "Hf", "Zr", "Zr"],
  "fractional_positions": [[0.0000, 0.0000, 0.0000], [0.7500, 0.2500, 0.5000], [0.1494, 0.1250, 0.5244], [0.3750, 0.8506, 0.9756], [0.6006, 0.6250, 0.4756], [0.8750, 0.3994, 0.0244], [0.2500, 0.7500, 0.5000], [0.5000, 0.5000, 0.0000]],
  "spacegroup": "I-42d (122)",
  "m_tot_mub_per_cell": 0.00,
  "polymorph_energy_mev_per_atom": 224.1,
  "e_form_mev_per_atom": 1305,
  "dos_at_fermi_per_ev_atom": 1.511
}



[2]
{
  "formula": "CaAcAlGa",
  "functional": "PBE-GGA",
  "state": "optimized geometry",
  "cell": [[0.0000, 3.8430, 3.8430], [3.8430, 0.0000, 3.8430], [3.8430, 3.8430, 0.0000]],
  "species": ["Ca", "Ac", "Al", "Ga"],
  "fractional_positions": [[0.0000, 0.0000, 0.0000], [0.5000, 0.5000, 0.5000], [0.2500, 0.2500, 0.2500], [0.7500, 0.7500, 0.7500]],
  "spacegroup": "F-43m (216)",
  "m_tot_mub_per_cell": 0.00,
  "polymorph_energy_mev_per_atom": 55.9,
  "e_form_mev_per_atom": -322,
  "dos_at_fermi_per_ev_atom": 0.841
}



[3]
{
  "formula": "RhWBr2",
  "functional": "PBE-GGA",
  "state": "optimized geometry",
  "cell": [[-2.6471, 2.6471, 2.6498], [2.6471, -2.6471, 2.6498], [2.6471, 2.6471, -2.6498]],
  "species": ["Rh", "W", "Br", "Br"],
  "fractional_positions": [[0.0000, 0.0000, 0.0000], [0.7500, 0.2500, 0.5000], [0.2500, 0.7500, 0.5000], [0.5000, 0.5000, 0.0000]],
  "raw_formation_energy_ev_per_atom": 1.11,
  "spacegroup": "I-4m2 (119)",
  "m_tot_mub_per_cell": 1.62,
  "polymorph_energy_mev_per_atom": 1033.2,
  "dos_at_fermi_per_ev_atom": 0.934
}



Number 1: uncorrected energy -6.08 eV per atom. Number 2: uncorrected energy -3.54 eV per atom. Number 3: uncorrected energy -4.81 eV per atom.